The following is a DFT calculation (GGA-PBE) of crystalline CeCN at its relaxed geometry.

Cell lengths 3.6954, 3.6954, 4.0289 Å; angles 117.30, 117.30, 90.00 degrees
Fractional coordinates of all 3 atoms:
C 0.0123 0.0123 0.0245
N 0.2228 0.2228 0.4456
Ce 0.6150 0.6150 0.2299

Output
symmetry: I4mm, No. 107
magnetization: 0.0 μB per formula unit
formation energy without anion corrections: -0.6863 eV per atom
V: 13.96 Å³ per atom
relative energy among the computed polymorphs: 0.000 eV/atom